Entry 1:
The following is a DFT calculation (PBE-GGA) of a relaxed PmPuHgTe crystal.

Output
symmetry	No. 216
ΔE_f (raw)	-217	kJ/mol of formula units

Cell: 5.386 5.386 5.386 Å, 60.00 60.00 60.00°
Element x y z (fractional)
Pm 0.500 0.500 0.500
Te 0.250 0.250 0.250
Hg 0.750 0.750 0.750
Pu 0.000 0.000 0.000

Entry 2:
The following is a DFT calculation (PBE-GGA) of a relaxed CeNd3As4 crystal.

Output
energy of formation from the pure elements	-1.497	eV/atom
distance to the lowest polymorph of the same formula	0	meV per atom
symmetry	No. 65

Cell: 4.257 7.372 7.372 Å, 109.41 90.00 90.00°
Element x y z (fractional)
Ce 0.500 0.000 0.000
Nd 0.000 0.000 0.500
Nd 0.500 0.500 0.500
Nd 0.000 0.500 0.000
As 0.000 0.246 0.246
As 0.500 0.753 0.247
As 0.000 0.754 0.754
As 0.500 0.247 0.753

Entry 3:
The following is a DFT calculation (PBE-GGA) of a relaxed U4SiRh12 crystal.

Output
symmetry	No. 229
ΔE_f (raw)	-1045	kJ/mol of formula units

Cell: 7.122 7.122 7.122 Å, 109.47 109.47 109.47°
Element x y z (fractional)
U 0.000 0.000 0.500
U 0.500 0.000 0.000
U 0.500 0.500 0.500
U 0.000 0.500 0.000
Si 0.000 0.000 0.000
Rh 0.000 0.278 0.278
Rh 0.000 0.722 0.722
Rh 0.722 0.722 0.000
Rh 0.278 0.278 0.000
Rh 0.278 0.000 0.278
Rh 0.722 0.000 0.722
Rh 0.500 0.250 0.750
Rh 0.500 0.750 0.250
Rh 0.750 0.250 0.500
Rh 0.250 0.750 0.500
Rh 0.750 0.500 0.250
Rh 0.250 0.500 0.750

Entry 4:
The following is a DFT calculation (PBE-GGA) of a relaxed HfOsS3 crystal.

Output
distance to the lowest polymorph of the same formula	253	meV per atom
symmetry	No. 221
ΔE_f (raw)	305	kJ/mol of formula units

Cell: 4.884 4.884 4.884 Å, 90.00 90.00 90.00°
Element x y z (fractional)
Hf 0.000 0.000 0.000
S 0.000 0.500 0.000
S 0.000 0.000 0.500
S 0.500 0.000 0.000
Os 0.500 0.500 0.500

Entry 5:
The following is a DFT calculation (PBE-GGA) of a relaxed LaIn2W crystal.

Output
energy of formation from the pure elements	0.260	eV/atom
distance to the lowest polymorph of the same formula	0	meV per atom
symmetry	No. 47

Cell: 3.056 4.451 6.832 Å, 90.00 90.00 90.00°
Element x y z (fractional)
In 0.000 0.000 0.959
In 0.000 0.000 0.541
La 0.500 0.500 0.250
W 0.500 0.500 0.750

Entry 6:
The following is a DFT calculation (PBE-GGA) of a relaxed CaIrRh2 crystal.

Output
energy of formation from the pure elements	0.022	eV/atom
distance to the lowest polymorph of the same formula	119	meV per atom
symmetry	No. 139

Cell: 4.874 4.874 4.874 Å, 130.45 130.45 72.69°
Element x y z (fractional)
Ca 0.250 0.750 0.500
Ir 0.750 0.250 0.500
Rh 0.000 0.000 0.000
Rh 0.500 0.500 0.000

Ordered total energy results: -0.455 -0.467 -0.647 -0.447 -0.410 -0.468; unit Ry per atom.